Entry from Alexandria: a relaxed Sr2LiCd crystal (PBE-GGA).

The calculation puts the energy relative to the elements at 0.330 eV per atom. For the calculated volume, the calculation gives 357 Å³/cell. The value obtained for the electronic total energy is -9.75 eV/cell.

The space group is Immm (No. 71) and the conventional cell measures 3.896, 6.612 and 13.867 Å, with angles of 90.00, 90.00 and 90.00 degrees. The asymmetric unit holds Sr at (0.000, 0.000, 0.238), Li at (0.000, 0.000, 0.500) and Cd at (0.000, 0.000, 0.000).